The following is a DFT calculation (PBE-GGA) of a relaxed TmCdAgPd crystal.

The structure in POSCAR format:
```
TmCdAgPd
1.0
0.000 3.417 3.417
3.417 0.000 3.417
3.417 3.417 0.000
Tm Cd Ag Pd
1 1 1 1
direct
0.000 0.000 0.000
0.500 0.500 0.500
0.750 0.750 0.750
0.250 0.250 0.250
```

Results
The formation enthalpy at 0 K is -499 meV/atom. The space-group type is F-43m (216).

***

The following is a DFT calculation (PBE-GGA) of a relaxed NbReO2 crystal.

The structure in POSCAR format:
```
NbReO2
1.0
0.000 2.823 2.823
2.823 0.000 2.823
2.823 2.823 0.000
Nb Re O
1 1 2
direct
0.000 0.000 0.000
0.500 0.500 0.500
0.250 0.250 0.250
0.750 0.750 0.750
```

Results
Its polymorph energy (0 for the lowest one) is 489 kJ/mol of formula units. The value obtained for the uncorrected formation energy is -0.030 eV/atom. The space-group type is Fm-3m (225).

***

The following is a DFT calculation (PBE-GGA) of a relaxed TbEr4Tl2 crystal.

The structure in POSCAR format:
```
TbEr4Tl2
1.0
9.044 0.000 0.000
0.000 9.044 0.000
0.000 0.000 5.249
Tb Er Tl
2 8 4
direct
0.000 0.000 0.000
0.500 0.500 0.500
0.074 0.332 0.500
0.168 0.574 0.000
0.332 0.074 0.500
0.426 0.832 0.000
0.574 0.168 0.000
0.668 0.926 0.500
0.832 0.426 0.000
0.926 0.668 0.500
0.249 0.249 0.000
0.251 0.749 0.500
0.749 0.251 0.500
0.751 0.751 0.000
```

Results
The formation enthalpy at 0 K is -76 meV/atom. Its polymorph energy (0 for the lowest one) is 1 kJ/mol of formula units. The space-group type is P4_2/mnm (136).

***

The following is a DFT calculation (PBE-GGA) of a relaxed AcLaTbPm crystal.

The structure in POSCAR format:
```
AcLaTbPm
1.0
0.000 4.207 4.207
4.207 0.000 4.207
4.207 4.207 0.000
Ac La Tb Pm
1 1 1 1
direct
0.000 0.000 0.000
0.500 0.500 0.500
0.250 0.250 0.250
0.750 0.750 0.750
```

Results
The formation enthalpy at 0 K is 111 meV/atom. The space-group type is F-43m (216).